Record 1
AsIrF6 | PBE-GGA | optimized geometry

Crystal system = cubic
Energy = -33.130 eV per formula unit
Density = 6.14 Mg/m³

Cell lengths 5.263, 5.263, 5.263 Å; angles 60.00, 60.00, 60.00 degrees
Fractional positions:
As 0.000 0.000 0.000
Ir 0.250 0.250 0.250
F 0.241 0.241 0.759
F 0.241 0.759 0.241
F 0.241 0.759 0.759
F 0.759 0.241 0.241
F 0.759 0.241 0.759
F 0.759 0.759 0.241

=====

Record 2
CdTePbO | PBE-GGA | optimized geometry

Crystal system = orthorhombic
Energy = -15.411 eV per formula unit
Density = 7.45 Mg/m³

Cell lengths 6.582, 4.236, 14.816 Å; angles 90.00, 90.00, 90.00 degrees
Fractional positions:
Cd 0.109 0.250 0.206
Cd 0.391 0.750 0.706
Cd 0.609 0.250 0.294
Cd 0.891 0.750 0.794
Te 0.233 0.250 0.596
Te 0.267 0.750 0.096
Te 0.733 0.250 0.904
Te 0.767 0.750 0.404
Pb 0.245 0.250 0.915
Pb 0.255 0.750 0.415
Pb 0.745 0.250 0.585
Pb 0.755 0.750 0.085
O 0.218 0.750 0.831
O 0.282 0.250 0.331
O 0.718 0.750 0.669
O 0.782 0.250 0.169

=====

Record 3
Nb2CoRe | PBE-GGA | optimized geometry

Crystal system = cubic
Formation enthalpy at 0 K = 6 kJ/mol of atoms
Density = 11.58 Mg/m³

Cell lengths 4.437, 4.437, 4.437 Å; angles 60.00, 60.00, 60.00 degrees
Fractional positions:
Nb 0.000 0.000 0.000
Nb 0.250 0.250 0.250
Co 0.750 0.750 0.750
Re 0.500 0.500 0.500

=====

Record 4
FeHgBiPd | PBE-GGA | optimized geometry

Crystal system = cubic
Energy = -16.901 eV per formula unit
Density = 12.36 Mg/m³

Cell lengths 4.771, 4.771, 4.771 Å; angles 60.00, 60.00, 60.00 degrees
Fractional positions:
Fe 0.000 0.000 0.000
Hg 0.250 0.250 0.250
Bi 0.750 0.750 0.750
Pd 0.500 0.500 0.500

=====

Record 5
LiGaCoAs | PBE-GGA | optimized geometry

Crystal system = cubic
Energy = -16.297 eV per formula unit
Density = 6.25 Mg/m³

Cell lengths 4.294, 4.294, 4.294 Å; angles 60.00, 60.00, 60.00 degrees
Fractional positions:
Li 0.000 0.000 0.000
Ga 0.750 0.750 0.750
Co 0.250 0.250 0.250
As 0.500 0.500 0.500

=====

Record 6
Ba2TaCuS6 | PBE-GGA | optimized geometry

Crystal system = cubic
Energy = -55.179 eV per formula unit
Density = 5.23 Mg/m³

Cell lengths 6.838, 6.838, 6.838 Å; angles 60.00, 60.00, 60.00 degrees
Fractional positions:
Ba 0.250 0.250 0.250
Ba 0.750 0.750 0.750
Ta 0.000 0.000 0.000
Cu 0.500 0.500 0.500
S 0.251 0.251 0.749
S 0.251 0.749 0.251
S 0.251 0.749 0.749
S 0.749 0.251 0.251
S 0.749 0.251 0.749
S 0.749 0.749 0.251

=====

Record 7
LaNdBr2O2 | PBE-GGA | optimized geometry

Crystal system = tetragonal
Energy = -40.481 eV per formula unit
Density = 6.01 Mg/m³

Cell lengths 4.041, 4.041, 8.039 Å; angles 90.00, 90.00, 90.00 degrees
Fractional positions:
La 0.000 0.000 0.000
Nd 0.500 0.500 0.301
Br 0.000 0.000 0.496
Br 0.500 0.500 0.803
O 0.000 0.500 0.153
O 0.500 0.000 0.153

=====

Record 8
BeHg2Ge | PBE-GGA | optimized geometry

Crystal system = cubic
Energy = -6.442 eV per formula unit
Density = 10.17 Mg/m³

Cell lengths 4.813, 4.813, 4.813 Å; angles 60.00, 60.00, 60.00 degrees
Fractional positions:
Be 0.000 0.000 0.000
Hg 0.250 0.250 0.250
Hg 0.500 0.500 0.500
Ge 0.750 0.750 0.750